## PrZnCo (PBE)

Data for a relaxed structure of PrZnCo.

Cell: 4.0608 15.9222 3.8731 Å, 90.00 90.00 90.00°
Closest atoms and distances in Å follow each position.
Space group Cmcm (No. 63)
Inequivalent atoms, fractional coordinates:
Pr: 0.0000 0.1037 0.2500 [4 per cell]  6 Co 3.00-3.03, 5 Zn 3.12-3.20
Zn: 0.0000 0.2998 0.2500 [4 per cell]  1 Co 2.59
Co: 0.0000 0.4623 0.2500 [4 per cell]  2 Co 2.28

Results
E_form	-0.142	eV per atom
magnetic moment	2.1	μB/cell